The following is a GGA-PBE calculation of a relaxed CeEr6Tm2 crystal, from Alexandria via LeMat-Bulk. Values from VASP.

energy relative to the elements	0.09	eV per atom
crystal system	monoclinic
calculated volume	547	Å³/cell
electronic total energy	-82.9	eV for the cell shown

Cell and atoms, written as Quantum ESPRESSO input:
```
&SYSTEM
  ibrav = 0, nat = 18, ntyp = 3
/
ATOMIC_SPECIES
Ce 140.12 Ce.upf
Er 167.26 Er.upf
Tm 168.93 Tm.upf
CELL_PARAMETERS angstrom
-6.314 -1.418 0.497
1.991 -5.666 2.463
3.191 10.700 9.636
ATOMIC_POSITIONS crystal
Ce 0.749 0.251 0.250
Ce 0.251 0.749 0.750
Er 0.187 0.350 0.510
Er 0.650 0.813 0.990
Er 0.813 0.650 0.490
Er 0.350 0.187 0.010
Er 0.085 0.586 0.915
Er 0.414 0.915 0.585
Er 0.915 0.414 0.085
Er 0.586 0.085 0.415
Er 0.146 0.979 0.157
Er 0.021 0.854 0.343
Er 0.854 0.021 0.843
Er 0.979 0.146 0.657
Tm 0.316 0.479 0.324
Tm 0.521 0.684 0.176
Tm 0.684 0.521 0.676
Tm 0.479 0.316 0.824
```



The following is a GGA-PBE calculation of a relaxed Na3TePt crystal, from Alexandria via LeMat-Bulk. Values from VASP.

crystal system	cubic
calculated volume	160	Å³/cell
offset from the most stable computed form	0.00	eV/f.u.
electronic total energy	-13.4	eV for the cell shown
uncorrected formation energy	-45	meV per atom

Cell and atoms, written as Quantum ESPRESSO input:
```
&SYSTEM
  ibrav = 0, nat = 5, ntyp = 3
/
ATOMIC_SPECIES
Na 22.99 Na.upf
Te 127.60 Te.upf
Pt 195.08 Pt.upf
CELL_PARAMETERS angstrom
-1.620 4.727 -2.112
-4.475 -2.391 -1.918
-2.602 1.170 4.614
ATOMIC_POSITIONS crystal
Na 0.000 0.500 0.000
Na 0.000 0.000 0.500
Na 0.500 0.000 0.000
Te 0.500 0.500 0.500
Pt 0.000 0.000 0.000
```



The following is a GGA-PBE calculation of a relaxed AgBPt3 crystal, from Alexandria via LeMat-Bulk. Values from VASP.

energy relative to the elements	2.37	eV per atom
crystal system	cubic
calculated volume	119	Å³/cell
offset from the most stable computed form	12.96	eV/f.u.
electronic total energy	-15.8	eV for the cell shown

Cell and atoms, written as Quantum ESPRESSO input:
```
&SYSTEM
  ibrav = 0, nat = 5, ntyp = 3
/
ATOMIC_SPECIES
B 10.81 B.upf
Ag 107.87 Ag.upf
Pt 195.08 Pt.upf
CELL_PARAMETERS angstrom
4.916 0.000 0.000
0.000 4.916 0.000
0.000 0.000 4.916
ATOMIC_POSITIONS crystal
B 0.500 0.500 0.500
Ag 0.000 0.000 0.000
Pt 0.000 0.500 0.000
Pt 0.000 0.000 0.500
Pt 0.500 0.000 0.000
```



The following is a GGA-PBE calculation of a relaxed Sc2BiRhC crystal, from Alexandria via LeMat-Bulk. Values from VASP.

energy relative to the elements	-0.47	eV per atom
crystal system	tetragonal
calculated volume	88	Å³/cell
electronic total energy	-35.5	eV for the cell shown

Cell and atoms, written as Quantum ESPRESSO input:
```
&SYSTEM
  ibrav = 0, nat = 5, ntyp = 4
/
ATOMIC_SPECIES
Sc 44.96 Sc.upf
C 12.01 C.upf
Rh 102.91 Rh.upf
Bi 208.98 Bi.upf
CELL_PARAMETERS angstrom
-2.720 2.026 -3.076
1.823 -2.582 -3.313
-2.926 -2.918 0.665
ATOMIC_POSITIONS crystal
Sc 0.000 0.500 0.000
Sc 0.500 0.000 0.000
C 0.000 0.000 0.000
Rh 0.000 0.000 0.500
Bi 0.500 0.500 0.500
```